Version a
YOs2Pt after structural relaxation, computed with GGA-PBE.

Cell lengths 10.217, 10.217, 10.217 Å; angles 157.04, 157.04, 32.69 degrees
Atoms (fractional coordinates):
Y: 0.000 0.000 0.000
Y: 0.750 0.250 0.500
Os: 0.223 0.625 0.098
Os: 0.375 0.473 0.598
Os: 0.527 0.125 0.902
Os: 0.875 0.777 0.402
Pt: 0.250 0.750 0.500
Pt: 0.500 0.500 0.000

Results
density of states at the Fermi level	5.9	states/eV/f.u.
volume	20.26	Å³ per atom
total magnetic moment	0.0	μB/f.u.
density	13.61	g/cm3

Version b
YOs2Pt after structural relaxation, computed with GGA-PBE.

Cell lengths 2.895, 3.937, 6.155 Å; angles 90.00, 90.00, 90.00 degrees
Atoms (fractional coordinates):
Y: 0.000 0.000 0.000
Os: 0.000 0.000 0.473
Os: 0.500 0.500 0.309
Pt: 0.500 0.500 0.742

Results
density of states at the Fermi level	3.0	states/eV/f.u.
volume	17.54	Å³ per atom
total magnetic moment	0.0	μB/f.u.
density	15.73	g/cm3

The energetic minimum among the shown structures is version b; the next structure lies 333 meV per atom above.